(1)
Material: CeBiAs2
Method: DFT, GGA-PBE
State: relaxed

a b c (Å): 3.919 3.919 6.401
angles (deg): 90.00 90.00 90.00
Positions (direct):
Ce 0.000 0.000 0.000
Bi 0.000 0.000 0.500
As 0.500 0.500 0.212
As 0.500 0.500 0.788

## Properties
Energy of formation from the pure elements = -0.54 eV per atom

(2)
Material: Ce7Bi2As2
Method: DFT, GGA-PBE
State: relaxed

a b c (Å): 7.352 7.352 6.552
angles (deg): 90.00 90.00 105.84
Positions (direct):
Ce 0.000 0.000 0.000
Ce 0.000 0.500 0.291
Ce 0.000 0.500 0.709
Ce 0.500 0.000 0.291
Ce 0.500 0.000 0.709
Ce 0.500 0.500 0.207
Ce 0.500 0.500 0.793
Bi 0.193 0.193 0.500
Bi 0.807 0.807 0.500
As 0.261 0.739 0.000
As 0.739 0.261 0.000

## Properties
Energy of formation from the pure elements = -0.54 eV per atom

(3)
Material: Ce4Bi3As
Method: DFT, GGA-PBE
State: relaxed

a b c (Å): 7.818 7.818 4.488
angles (deg): 90.00 90.00 109.26
Positions (direct):
Ce 0.233 0.233 0.500
Ce 0.241 0.759 0.000
Ce 0.759 0.241 0.000
Ce 0.767 0.767 0.500
Bi 0.000 0.500 0.500
Bi 0.500 0.000 0.500
Bi 0.500 0.500 0.000
As 0.000 0.000 0.000

## Properties
Energy of formation from the pure elements = -0.92 eV per atom

(4)
Material: CeBiAs2
Method: DFT, GGA-PBE
State: relaxed

a b c (Å): 4.907 4.907 3.964
angles (deg): 90.00 90.00 90.00
Positions (direct):
Ce 0.000 0.000 0.000
Bi 0.500 0.500 0.000
As 0.000 0.500 0.500
As 0.500 0.000 0.500

## Properties
Energy of formation from the pure elements = -0.63 eV per atom

(5)
Material: Ce3BiAs2
Method: DFT, GGA-PBE
State: relaxed

a b c (Å): 7.299 7.299 10.211
angles (deg): 90.00 90.00 140.59
Positions (direct):
Ce 0.104 0.896 0.750
Ce 0.373 0.627 0.546
Ce 0.373 0.627 0.954
Ce 0.627 0.373 0.046
Ce 0.627 0.373 0.454
Ce 0.896 0.104 0.250
Bi 0.224 0.776 0.250
Bi 0.776 0.224 0.750
As 0.000 0.000 0.000
As 0.000 0.000 0.500
As 0.486 0.514 0.250
As 0.514 0.486 0.750

## Properties
Energy of formation from the pure elements = -0.91 eV per atom

(6)
Material: CeBiAs
Method: DFT, GGA-PBE
State: relaxed

a b c (Å): 5.575 5.575 6.338
angles (deg): 90.00 90.00 126.87
Positions (direct):
Ce 0.161 0.839 0.750
Ce 0.839 0.161 0.250
Bi 0.500 0.500 0.000
Bi 0.500 0.500 0.500
As 0.149 0.851 0.250
As 0.851 0.149 0.750

## Properties
Energy of formation from the pure elements = -0.71 eV per atom

(7)
Material: Ce3BiAs4
Method: DFT, GGA-PBE
State: relaxed

a b c (Å): 6.008 6.008 6.008
angles (deg): 90.00 90.00 90.00
Positions (direct):
Ce 0.000 0.000 0.500
Ce 0.000 0.500 0.000
Ce 0.500 0.000 0.000
Bi 0.500 0.500 0.500
As 0.000 0.000 0.000
As 0.000 0.500 0.500
As 0.500 0.000 0.500
As 0.500 0.500 0.000

## Properties
Energy of formation from the pure elements = -1.02 eV per atom

(8)
Material: Ce5Bi4As
Method: DFT, GGA-PBE
State: relaxed

a b c (Å): 16.317 16.317 16.317
angles (deg): 164.02 164.02 22.68
Positions (direct):
Ce 0.000 0.000 0.000
Ce 0.200 0.200 0.000
Ce 0.407 0.407 0.000
Ce 0.593 0.593 0.000
Ce 0.800 0.800 0.000
Bi 0.100 0.100 0.000
Bi 0.303 0.303 0.000
Bi 0.697 0.697 0.000
Bi 0.900 0.900 0.000
As 0.500 0.500 0.000

## Properties
Energy of formation from the pure elements = -0.88 eV per atom

(9)
Material: Ce4Bi3As
Method: DFT, GGA-PBE
State: relaxed

a b c (Å): 7.796 7.796 6.115
angles (deg): 111.45 111.45 46.03
Positions (direct):
Ce 0.103 0.103 0.005
Ce 0.227 0.227 0.656
Ce 0.773 0.773 0.344
Ce 0.897 0.897 0.995
Bi 0.349 0.349 0.276
Bi 0.500 0.500 0.000
Bi 0.651 0.651 0.724
As 0.000 0.000 0.500

## Properties
Energy of formation from the pure elements = -0.42 eV per atom

(10)
Material: Ce6BiAs5
Method: DFT, GGA-PBE
State: relaxed

a b c (Å): 7.419 7.419 7.415
angles (deg): 99.62 99.62 119.97
Positions (direct):
Ce 0.066 0.414 0.742
Ce 0.238 0.238 0.257
Ce 0.414 0.066 0.742
Ce 0.586 0.934 0.258
Ce 0.762 0.762 0.743
Ce 0.934 0.586 0.258
Bi 0.500 0.500 0.000
As 0.000 0.000 0.500
As 0.167 0.833 0.000
As 0.338 0.662 0.500
As 0.662 0.338 0.500
As 0.833 0.167 0.000

## Properties
Energy of formation from the pure elements = -1.29 eV per atom

(11)
Material: Ce2BiAs
Method: DFT, GGA-PBE
State: relaxed

a b c (Å): 7.732 7.732 7.732
angles (deg): 32.80 32.80 32.80
Positions (direct):
Ce 0.242 0.242 0.242
Ce 0.758 0.758 0.758
Bi 0.000 0.000 0.000
As 0.500 0.500 0.500

## Properties
Energy of formation from the pure elements = -1.09 eV per atom

(12)
Material: Ce2BiAs
Method: DFT, GGA-PBE
State: relaxed

a b c (Å): 8.005 8.005 8.005
angles (deg): 31.22 31.22 31.22
Positions (direct):
Ce 0.000 0.000 0.000
Ce 0.187 0.187 0.187
Bi 0.426 0.426 0.426
As 0.596 0.596 0.596

## Properties
Energy of formation from the pure elements = -1.00 eV per atom

(13)
Material: Ce2BiAs
Method: DFT, GGA-PBE
State: relaxed

a b c (Å): 4.351 7.547 7.660
angles (deg): 90.00 90.00 90.00
Positions (direct):
Ce 0.250 0.007 0.226
Ce 0.250 0.493 0.226
Ce 0.750 0.507 0.774
Ce 0.750 0.993 0.774
Bi 0.250 0.250 0.579
Bi 0.750 0.750 0.421
As 0.250 0.750 0.917
As 0.750 0.250 0.083

## Properties
Energy of formation from the pure elements = -0.92 eV per atom

(14)
Material: CeBiAs2
Method: DFT, GGA-PBE
State: relaxed

a b c (Å): 9.003 9.003 9.003
angles (deg): 27.03 27.03 27.03
Positions (direct):
Ce 0.000 0.000 0.000
Bi 0.500 0.500 0.500
As 0.393 0.393 0.393
As 0.607 0.607 0.607

## Properties
Energy of formation from the pure elements = -0.25 eV per atom

(15)
Material: CeErBiAs
Method: DFT, GGA-PBE
State: relaxed

a b c (Å): 7.579 7.579 7.579
angles (deg): 33.01 33.01 33.01
Positions (direct):
Ce 0.000 0.000 0.000
Er 0.484 0.484 0.484
Bi 0.239 0.239 0.239
As 0.745 0.745 0.745

## Properties
Energy of formation from the pure elements = -1.11 eV per atom

(16)
Material: Ce2BiAsH2
Method: DFT, GGA-PBE
State: relaxed

a b c (Å): 4.008 4.008 8.409
angles (deg): 90.00 90.00 120.00
Positions (direct):
Ce 0.333 0.667 0.222
Ce 0.667 0.333 0.778
Bi 0.000 0.000 0.500
As 0.000 0.000 0.000
H 0.333 0.667 0.763
H 0.667 0.333 0.237

## Properties
Raw total energy = -31.9 eV per cell

(17)
Material: CeHoBiAs
Method: DFT, GGA-PBE
State: relaxed

a b c (Å): 7.594 7.594 7.594
angles (deg): 33.00 33.00 33.00
Positions (direct):
Ce 0.000 0.000 0.000
Ho 0.516 0.516 0.516
Bi 0.760 0.760 0.760
As 0.256 0.256 0.256

## Properties
Energy of formation from the pure elements = -1.12 eV per atom

(18)
Material: CeNdBiAs
Method: DFT, GGA-PBE
State: relaxed

a b c (Å): 7.739 7.739 7.739
angles (deg): 32.96 32.96 32.96
Positions (direct):
Ce 0.000 0.000 0.000
Nd 0.485 0.485 0.485
Bi 0.244 0.244 0.244
As 0.741 0.741 0.741

## Properties
Energy of formation from the pure elements = -1.15 eV per atom

(19)
Material: Ce6BiAs3P2
Method: DFT, GGA-PBE
State: relaxed

a b c (Å): 9.461 9.461 8.516
angles (deg): 102.67 102.67 25.84
Positions (direct):
Ce 0.004 0.004 0.270
Ce 0.326 0.326 0.905
Ce 0.331 0.331 0.421
Ce 0.669 0.669 0.579
Ce 0.674 0.674 0.095
Ce 0.996 0.996 0.730
Bi 0.500 0.500 0.000
As 0.163 0.163 0.832
As 0.500 0.500 0.500
As 0.837 0.837 0.168
P 0.168 0.168 0.336
P 0.832 0.832 0.664

## Properties
Energy of formation from the pure elements = -1.30 eV per atom

(20)
Material: CeBi2As2Pd7
Method: DFT, GGA-PBE
State: relaxed

a b c (Å): 4.123 4.123 14.286
angles (deg): 94.51 94.51 89.38
Positions (direct):
Ce 0.000 0.000 0.000
Bi 0.123 0.123 0.392
Bi 0.877 0.877 0.608
As 0.429 0.429 0.748
As 0.571 0.571 0.252
Pd 0.042 0.541 0.149
Pd 0.353 0.353 0.573
Pd 0.459 0.958 0.851
Pd 0.500 0.500 0.000
Pd 0.541 0.042 0.149
Pd 0.647 0.647 0.427
Pd 0.958 0.459 0.851

## Properties
Energy of formation from the pure elements = -0.43 eV per atom

(21)
Material: CePmBiAs
Method: DFT, GGA-PBE
State: relaxed

a b c (Å): 7.711 7.711 7.711
angles (deg): 32.96 32.96 32.96
Positions (direct):
Ce 0.000 0.000 0.000
Pm 0.484 0.484 0.484
Bi 0.243 0.243 0.243
As 0.742 0.742 0.742

## Properties
Energy of formation from the pure elements = -1.16 eV per atom

(22)
Material: CeBi2As2Rh7
Method: DFT, GGA-PBE
State: relaxed

a b c (Å): 4.008 4.008 14.291
angles (deg): 95.60 95.60 90.10
Positions (direct):
Ce 0.000 0.000 0.000
Bi 0.125 0.125 0.393
Bi 0.875 0.875 0.607
As 0.414 0.414 0.753
As 0.586 0.586 0.247
Rh 0.052 0.553 0.148
Rh 0.370 0.370 0.576
Rh 0.447 0.948 0.852
Rh 0.500 0.500 0.000
Rh 0.553 0.052 0.148
Rh 0.630 0.630 0.424
Rh 0.948 0.447 0.852

## Properties
Energy of formation from the pure elements = -0.35 eV per atom

(23)
Material: Ce6BiAs3S2
Method: DFT, GGA-PBE
State: relaxed

a b c (Å): 9.435 9.435 8.476
angles (deg): 102.74 102.74 25.88
Positions (direct):
Ce 0.004 0.004 0.270
Ce 0.325 0.325 0.907
Ce 0.332 0.332 0.420
Ce 0.668 0.668 0.580
Ce 0.675 0.675 0.093
Ce 0.996 0.996 0.730
Bi 0.500 0.500 0.000
As 0.163 0.163 0.831
As 0.500 0.500 0.500
As 0.837 0.837 0.169
S 0.169 0.169 0.336
S 0.831 0.831 0.664

## Properties
Energy relative to the elements, uncorrected = -1.4775 eV/atom

(24)
Material: Ce4BiSb2As
Method: DFT, GGA-PBE
State: relaxed

a b c (Å): 7.711 4.445 7.745
angles (deg): 90.00 109.34 90.00
Positions (direct):
Ce 0.240 0.000 0.236
Ce 0.248 0.500 0.761
Ce 0.752 0.500 0.239
Ce 0.760 0.000 0.764
Bi 0.000 0.000 0.500
Sb 0.500 0.000 0.000
Sb 0.500 0.500 0.500
As 0.000 0.500 0.000

## Properties
Energy relative to the elements, uncorrected = -1.0448 eV/atom

(25)
Material: Ce6BiSb2As3
Method: DFT, GGA-PBE
State: relaxed

a b c (Å): 9.806 9.806 8.794
angles (deg): 103.78 103.78 25.62
Positions (direct):
Ce 0.004 0.004 0.235
Ce 0.327 0.327 0.426
Ce 0.337 0.337 0.907
Ce 0.663 0.663 0.093
Ce 0.673 0.673 0.574
Ce 0.996 0.996 0.765
Bi 0.500 0.500 0.500
Sb 0.167 0.167 0.833
Sb 0.833 0.833 0.167
As 0.166 0.166 0.333
As 0.500 0.500 0.000
As 0.834 0.834 0.667

## Properties
Energy relative to the elements, uncorrected = -1.1744 eV/atom